(1)
The following is a DFT calculation (GGA-PBE) of crystalline Li2CeHgS4 at its relaxed geometry.

Summary:
raw formation energy: -9.10 eV/f.u.
M_tot: 0.017 μB per atom

a b c (Å): 3.9639 6.6855 6.6398
angles (deg): 69.09 90.00 90.00
Closest atoms and distances in Å follow each position.
Element x y z (fractional)
Li: 0.5000 0.0000 0.5000  6 S 2.55-2.76
Li: 0.0000 0.0000 0.0000  6 S 2.75
S: 0.5000 0.2326 0.7321  3 Li 2.55-2.75, 2 Ce 2.74
S: 0.0000 0.2548 0.2457  2 Hg 2.71, 1 Ce 2.74, 3 Li 2.75-2.76
S: 0.5000 0.7674 0.2679  3 Li 2.55-2.75, 2 Ce 2.74
S: 0.0000 0.7452 0.7543  2 Hg 2.71, 1 Ce 2.74, 3 Li 2.75-2.76
Hg: 0.5000 0.5000 0.0000  6 S 2.71-2.94
Ce: 0.0000 0.5000 0.5000  6 S 2.74

=====

(2)
The following is a DFT calculation (GGA-PBE) of crystalline Pr8SmY3 at its relaxed geometry.

Summary:
Fermi-level density of states: 1.778 states/eV/atom
M_tot: 0.000 μB per atom
energy of formation: 0.027 eV per atom

a b c (Å): 8.7491 8.7324 8.7508
angles (deg): 94.56 100.99 136.82
Closest atoms and distances in Å follow each position.
Element x y z (fractional)
Pr: 0.1700 0.8346 0.3359  4 Y 3.64-3.73, 7 Pr 3.65-3.74, 1 Sm 3.72
Pr: 0.8339 0.2514 0.0843  7 Pr 3.65-3.73, 4 Y 3.66-3.73, 1 Sm 3.68
Pr: 0.4999 0.8331 0.6661  7 Pr 3.65-3.73, 4 Y 3.66-3.73, 1 Sm 3.73
Pr: 0.8338 0.7502 0.5830  7 Pr 3.66-3.73, 4 Y 3.67-3.73, 1 Sm 3.68
Pr: 0.1642 0.7491 0.9139  4 Y 3.65-3.72, 1 Sm 3.65, 7 Pr 3.66-3.73
Pr: 0.4989 0.3321 0.1661  7 Pr 3.65-3.74, 3 Y 3.68-3.72, 2 Sm 3.68-3.73
Pr: 0.1646 0.2502 0.4150  4 Y 3.64-3.73, 7 Pr 3.65-3.73, 1 Sm 3.66
Pr: 0.1690 0.3336 0.8357  3 Y 3.65-3.72, 7 Pr 3.66-3.73, 2 Sm 3.68-3.73
Sm: 0.8298 0.8285 0.0010  2 Y 3.63-3.64, 10 Pr 3.65-3.73
Y: 0.8307 0.3295 0.5008  2 Y 3.62-3.63, 10 Pr 3.64-3.73
Y: 0.5026 0.2531 0.7485  1 Sm 3.63, 1 Y 3.63, 10 Pr 3.64-3.73
Y: 0.5026 0.7546 0.2498  1 Y 3.62, 10 Pr 3.64-3.73, 1 Sm 3.64

=====

(3)
The following is a DFT calculation (GGA-PBE) of crystalline Rb2Be2As at its relaxed geometry.

Summary:
Fermi-level density of states: 0.340 states/eV/atom
E above lowest polymorph: 0.00 kcal/mol of atoms
M_tot: 0.165 μB per atom
energy of formation: 0.467 eV per atom

a b c (Å): 6.4731 6.4731 5.6931
angles (deg): 90.00 90.00 90.00
Closest atoms and distances in Å follow each position.
Element x y z (fractional)
Rb: 0.7019 0.7981 0.5000  6 Be 3.29-3.56, 4 Rb 3.30, 4 As 3.68
Rb: 0.7981 0.2981 0.5000  6 Be 3.29-3.56, 4 Rb 3.30, 4 As 3.68
Rb: 0.2019 0.7019 0.5000  6 Be 3.29-3.56, 4 Rb 3.30, 4 As 3.68
Rb: 0.2981 0.2019 0.5000  6 Be 3.29-3.56, 4 Rb 3.30, 4 As 3.68
Be: 0.8831 0.6169 0.0000  1 Be 2.14
Be: 0.1169 0.3831 0.0000  1 Be 2.14
Be: 0.6169 0.1169 0.0000  1 Be 2.14
Be: 0.3831 0.8831 0.0000  1 Be 2.14
As: 0.5000 0.5000 0.0000  4 Be 2.59
As: 0.0000 0.0000 0.0000  4 Be 2.59

=====

(4)
The following is a DFT calculation (GGA-PBE) of crystalline Ba8Sr3 at its relaxed geometry.

Summary:
Fermi-level density of states: 1.699 states/eV/atom
E above lowest polymorph: 6.42 kcal/mol of atoms
M_tot: 0.000 μB per atom
energy of formation: 0.293 eV per atom

a b c (Å): 9.0961 9.0961 9.0961
angles (deg): 81.06 81.06 81.06
Closest atoms and distances in Å follow each position.
Element x y z (fractional)
Ba: 0.4042 0.4042 0.4042  1 Ba 3.46, 3 Sr 3.64
Ba: 0.7644 0.7656 0.1431  3 Sr 4.13-4.37, 3 Ba 4.30-4.47
Ba: 0.2356 0.2344 0.8569  3 Sr 4.13-4.37, 3 Ba 4.30-4.47
Ba: 0.7656 0.1431 0.7644  3 Sr 4.13-4.37, 3 Ba 4.30-4.47
Ba: 0.5958 0.5958 0.5958  1 Ba 3.46, 3 Sr 3.64
Ba: 0.1431 0.7644 0.7656  3 Sr 4.13-4.37, 3 Ba 4.30-4.47
Ba: 0.8569 0.2356 0.2344  3 Sr 4.13-4.37, 3 Ba 4.30-4.47
Ba: 0.2344 0.8569 0.2356  3 Sr 4.13-4.37, 3 Ba 4.30-4.47
Sr: 0.5000 0.0000 0.5000  2 Ba 3.64
Sr: 0.0000 0.5000 0.5000  2 Ba 3.64
Sr: 0.5000 0.5000 0.0000  2 Ba 3.64